Material: Mn2WSe
Method: DFT, PBE
State: optimized geometry

D(E_F) (states/eV/f.u.): 4.51
Calculated volume (Å³ per cell): 56
Raw total energy (eV/atom): -8.338

abc: 4.914 4.914 4.378
angles: 116.30 116.30 36.71
Fractional positions:
Mn: 0.240 0.240 0.240
Mn: 0.760 0.760 0.760
W: 0.000 0.000 0.500
Se: 0.500 0.500 0.000

=====

Material: MnWSe2
Method: DFT, PBE
State: optimized geometry

D(E_F) (states/eV/f.u.): 5.67
Calculated volume (Å³ per cell): 163
Raw total energy (eV/atom): -6.731

abc: 6.504 6.504 6.504
angles: 128.67 128.67 75.55
Fractional positions:
Mn: 0.000 0.000 0.000
Mn: 0.750 0.250 0.500
W: 0.250 0.750 0.500
W: 0.500 0.500 0.000
Se: 0.100 0.625 0.975
Se: 0.375 0.350 0.475
Se: 0.650 0.125 0.025
Se: 0.875 0.900 0.525

=====

Material: Mn2WSe
Method: DFT, PBE
State: optimized geometry

D(E_F) (states/eV/f.u.): 3.57
Calculated volume (Å³ per cell): 56
Raw total energy (eV/atom): -8.326

abc: 3.075 4.175 4.334
angles: 90.00 90.00 90.00
Fractional positions:
Mn: 0.000 0.000 0.000
Mn: 0.500 0.000 0.500
W: 0.000 0.500 0.500
Se: 0.500 0.500 0.000

=====

Material: Mn2WSe
Method: DFT, PBE
State: optimized geometry

D(E_F) (states/eV/f.u.): 2.77
Calculated volume (Å³ per cell): 57
Raw total energy (eV/atom): -8.437

abc: 3.157 3.157 5.769
angles: 90.00 90.00 90.00
Fractional positions:
Mn: 0.000 0.000 0.000
Mn: 0.500 0.500 0.236
W: 0.500 0.500 0.774
Se: 0.000 0.000 0.461

=====

Material: MnWSe2
Method: DFT, PBE
State: optimized geometry

D(E_F) (states/eV/f.u.): 2.55
Calculated volume (Å³ per cell): 92
Raw total energy (eV/atom): -7.314

abc: 7.342 7.342 7.342
angles: 152.50 149.88 41.24
Fractional positions:
Mn: 0.000 0.000 0.000
W: 0.500 0.500 0.000
Se: 0.130 0.630 0.500
Se: 0.870 0.370 0.500

=====

Material: MnWSe2
Method: DFT, PBE
State: optimized geometry

D(E_F) (states/eV/f.u.): 3.23
Calculated volume (Å³ per cell): 68
Raw total energy (eV/atom): -6.708

abc: 5.602 5.602 5.602
angles: 141.40 141.40 55.73
Fractional positions:
Mn: 0.000 0.000 0.000
W: 0.750 0.250 0.500
Se: 0.250 0.750 0.500
Se: 0.500 0.500 0.000

=====

Question: raw total energy of number 6 (MnWSe2)?
Answer: -6.708 eV/atom